No. 1
DFT (PBE) results for a relaxed structure of AgSb3O.

Geometry as POSCAR:
```
AgSb3O
1.0
5.318 0.000 0.000
0.000 5.318 0.000
0.000 0.000 5.318
Ag Sb O
1 3 1
Direct
0.000 0.000 0.000
0.000 0.000 0.500
0.000 0.500 0.000
0.500 0.000 0.000
0.500 0.500 0.500
```

Summary:
Its symmetry is Pm-3m. The raw formation energy is 1147 meV/atom. The value obtained for the electronic total energy is -2.888 eV/atom. The calculation puts the polymorph energy (0 for the lowest one) at 1051 meV/atom. As for the crystal system: cubic.

=====

No. 2
DFT (PBE) results for a relaxed structure of AgSb2O6.

Geometry as POSCAR:
```
AgSb2O6
1.0
4.727 0.000 0.000
0.000 5.186 0.000
-3.955 0.000 10.790
Ag Sb O
2 4 12
Direct
0.000 0.000 0.000
0.000 0.500 0.500
0.194 0.047 0.747
0.194 0.453 0.247
0.806 0.547 0.753
0.806 0.953 0.253
0.071 0.227 0.370
0.071 0.273 0.870
0.144 0.725 0.372
0.144 0.775 0.872
0.421 0.122 0.237
0.421 0.378 0.737
0.579 0.622 0.263
0.579 0.878 0.763
0.856 0.225 0.128
0.856 0.275 0.628
0.929 0.727 0.130
0.929 0.773 0.630
```

Summary:
Its symmetry is P2_1/c. The raw formation energy is -843 meV/atom. The value obtained for the electronic total energy is -5.381 eV/atom. The calculation puts the polymorph energy (0 for the lowest one) at 169 meV/atom. As for the crystal system: monoclinic.

=====

No. 3
DFT (PBE) results for a relaxed structure of AgSbO3.

Geometry as POSCAR:
```
AgSbO3
1.0
6.612 -4.769 0.000
6.612 4.769 0.000
-6.608 0.000 6.908
Ag Sb O
6 6 18
Direct
0.165 0.165 0.323
0.344 0.165 0.001
0.506 0.162 0.676
0.835 0.656 0.999
0.835 0.835 0.677
0.838 0.494 0.324
0.176 0.505 0.845
0.335 0.664 0.339
0.336 0.665 0.661
0.495 0.824 0.155
0.676 0.324 0.500
0.996 0.004 0.500
0.114 0.870 0.659
0.130 0.886 0.341
0.168 0.497 0.625
0.170 0.498 0.052
0.196 0.804 0.000
0.197 0.525 0.368
0.216 0.210 0.722
0.455 0.118 0.278
0.475 0.525 0.000
0.475 0.803 0.632
0.502 0.830 0.948
0.503 0.832 0.375
0.541 0.443 0.659
0.557 0.459 0.341
0.790 0.784 0.278
0.823 0.151 0.626
0.849 0.177 0.374
0.882 0.545 0.722
```

Summary:
Its symmetry is C2. The raw formation energy is -968 meV/atom. The value obtained for the electronic total energy is -5.338 eV/atom. As for the crystal system: monoclinic.

=====

No. 4
DFT (PBE) results for a relaxed structure of AgSbO3.

Geometry as POSCAR:
```
AgSbO3
1.0
5.514 0.000 0.000
0.000 5.648 0.000
0.000 0.000 8.733
Ag Sb O
4 4 12
Direct
0.250 0.000 0.160
0.250 0.500 0.340
0.750 0.000 0.840
0.750 0.500 0.660
0.250 0.000 0.598
0.250 0.500 0.902
0.750 0.000 0.402
0.750 0.500 0.098
0.066 0.180 0.428
0.066 0.320 0.072
0.133 0.250 0.750
0.367 0.750 0.750
0.434 0.680 0.072
0.434 0.820 0.428
0.566 0.180 0.572
0.566 0.320 0.928
0.633 0.250 0.250
0.867 0.750 0.250
0.934 0.680 0.928
0.934 0.820 0.572
```

Summary:
Its symmetry is Pnna. The raw formation energy is -956 meV/atom. The value obtained for the electronic total energy is -5.325 eV/atom. As for the crystal system: orthorhombic.

=====

No. 5
DFT (PBE) results for a relaxed structure of Ag3SbO.

Geometry as POSCAR:
```
Ag3SbO
1.0
4.555 0.000 0.000
0.000 4.555 0.000
0.000 0.000 4.555
Ag Sb O
3 1 1
Direct
0.000 0.000 0.500
0.000 0.500 0.000
0.500 0.000 0.000
0.500 0.500 0.500
0.000 0.000 0.000
```

Summary:
Its symmetry is Pm-3m. The raw formation energy is 132 meV/atom. The value obtained for the electronic total energy is -3.395 eV/atom. The calculation puts the polymorph energy (0 for the lowest one) at 0 meV/atom. As for the crystal system: cubic.

=====

No. 6
DFT (PBE) results for a relaxed structure of AgSbO3.

Geometry as POSCAR:
```
AgSbO3
1.0
3.945 0.000 0.000
0.000 3.945 0.000
0.000 0.000 3.945
Ag Sb O
1 1 3
Direct
0.000 0.000 0.000
0.500 0.500 0.500
0.000 0.500 0.500
0.500 0.000 0.500
0.500 0.500 0.000
```

Summary:
Its symmetry is Pm-3m. The raw formation energy is -793 meV/atom. The value obtained for the electronic total energy is -5.163 eV/atom. As for the crystal system: cubic.

=====

No. 7
DFT (PBE) results for a relaxed structure of AgSbO3.

Geometry as POSCAR:
```
AgSbO3
1.0
1.764 -7.166 0.000
1.764 7.166 0.000
0.000 0.000 5.272
Ag Sb O
2 2 6
Direct
0.040 0.960 0.750
0.960 0.040 0.250
0.304 0.696 0.750
0.696 0.304 0.250
0.189 0.811 0.004
0.189 0.811 0.496
0.438 0.562 0.750
0.562 0.438 0.250
0.811 0.189 0.504
0.811 0.189 0.996
```

Summary:
Its symmetry is Cmcm. The raw formation energy is -797 meV/atom. The value obtained for the electronic total energy is -5.166 eV/atom. As for the crystal system: orthorhombic.

=====

No. 8
DFT (PBE) results for a relaxed structure of AgSbSeO2.

Geometry as POSCAR:
```
AgSbSeO2
1.0
3.940 0.000 0.000
0.000 3.940 0.000
0.000 0.000 5.700
Ag Sb Se O
1 1 1 2
Direct
0.000 0.000 0.000
0.500 0.500 0.500
0.500 0.500 0.000
0.000 0.500 0.500
0.500 0.000 0.500
```

Summary:
Its symmetry is P4/mmm. The raw formation energy is -531 meV/atom. The value obtained for the electronic total energy is -4.605 eV/atom. As for the crystal system: tetragonal.